Crystalline AgOs2Pt at its relaxed geometry, computed with PBE-GGA.

The structure in extended XYZ format:
```
4
Lattice="4.437 0.000 0.000 0.000 4.437 0.000 0.000 0.000 3.139" Properties=species:S:1:pos:R:3 pbc="T T T"
Ag 0.000 2.219 1.570
Pt 2.219 0.000 1.570
Os 0.000 0.000 0.000
Os 2.219 2.219 0.000
```

total magnetization: 0.000 μB per atom
V: 61.82 Å³/f.u.
formation enthalpy at 0 K: 919 meV per atom

Crystalline Zn2Cu2Pd at its relaxed geometry, computed with PBE-GGA.

The structure in extended XYZ format:
```
10
Lattice="-3.618 4.610 -3.927 -0.030 -4.588 -5.358 -2.360 -1.065 0.925" Properties=species:S:1:pos:R:3 pbc="T T T"
Zn -1.829 -2.822 -3.831
Zn -2.365 0.174 -1.750
Zn -4.179 1.780 -4.530
Zn -3.642 -1.217 -6.611
Cu -0.461 -1.151 -2.501
Cu -2.262 2.308 -3.117
Cu -3.187 1.173 -6.784
Cu -1.385 -2.286 -6.168
Pd 0.000 0.000 0.000
Pd -1.824 0.011 -4.643
```

total magnetization: 0.000 μB per atom
V: 68.40 Å³/f.u.
formation enthalpy at 0 K: -149 meV per atom

Crystalline Sr2Li2AcSi2 at its relaxed geometry, computed with PBE-GGA.

The structure in extended XYZ format:
```
7
Lattice="4.618 0.000 0.000 2.309 4.000 0.000 2.309 1.333 11.576" Properties=species:S:1:pos:R:3 pbc="T T T"
Sr 6.928 4.000 3.970
Sr 2.309 1.333 7.607
Li 4.618 2.666 9.548
Li 4.618 2.666 2.028
Si 6.928 4.000 9.552
Si 2.309 1.333 2.024
Ac 0.000 0.000 0.000
```

total magnetization: 0.124 μB per atom
V: 213.85 Å³/f.u.
raw formation energy: -0.3436 eV/atom

Crystalline Nd6ZnRh2 at its relaxed geometry, computed with PBE-GGA.

The structure in extended XYZ format:
```
18
Lattice="8.166 -0.107 -2.971 -4.384 7.117 -2.376 -0.082 0.107 8.689" Properties=species:S:1:pos:R:3 pbc="T T T"
Zn -2.233 3.612 3.157
Zn 0.000 0.000 0.000
Nd 4.013 2.586 2.900
Nd 0.512 1.709 2.604
Nd 2.500 1.989 -0.507
Nd -1.841 5.515 5.929
Nd 5.534 0.126 0.750
Nd -0.437 2.096 6.163
Nd 3.188 5.408 0.740
Nd 5.541 1.602 -2.586
Nd -1.834 6.992 2.593
Nd 1.199 5.128 3.850
Nd 4.136 5.021 -2.819
Nd -0.313 4.532 0.443
Rh 5.411 0.000 3.828
Rh 1.302 4.458 -1.841
Rh 2.673 0.000 1.891
Rh 2.398 2.660 5.184
```

total magnetization: 0.000 μB per atom
V: 251.34 Å³/f.u.
formation enthalpy at 0 K: -417 meV per atom

Crystalline RbBe2H2 at its relaxed geometry, computed with PBE-GGA.

The structure in extended XYZ format:
```
10
Lattice="4.162 0.001 -0.001 -0.068 6.547 -0.004 -2.002 -2.214 6.151" Properties=species:S:1:pos:R:3 pbc="T T T"
Be 0.380 2.870 1.081
Be 1.372 4.415 1.994
Be 2.362 2.860 1.104
Be -0.713 4.058 2.699
H 0.280 5.201 2.451
H 2.435 5.199 2.532
H 1.371 1.744 0.994
H -0.661 3.822 4.109
Rb 1.430 3.984 5.897
Rb -0.488 0.930 3.846
```

final energy: -29.76 eV/cell
total magnetization: 0.000 μB per atom
V: 83.79 Å³/f.u.

Crystalline HoNiPt at its relaxed geometry, computed with PBE-GGA.

The structure in extended XYZ format:
```
3
Lattice="-2.607 -2.582 0.249 1.674 -1.339 3.633 -2.967 2.998 0.023" Properties=species:S:1:pos:R:3 pbc="T T T"
Ho -3.158 -0.169 1.393
Ni -0.308 -0.324 2.471
Pt -0.434 -0.430 0.042
```

total magnetization: 0.120 μB per atom
V: 56.66 Å³/f.u.
formation enthalpy at 0 K: -795 meV per atom

Crystalline Pm2MgBe4Pt3 at its relaxed geometry, computed with PBE-GGA.

The structure in extended XYZ format:
```
10
Lattice="-0.587 -3.890 0.909 3.211 -1.006 -2.231 5.960 0.999 8.127" Properties=species:S:1:pos:R:3 pbc="T T T"
Be 0.000 0.000 0.000
Be 3.703 -0.151 1.744
Be 1.312 -2.448 -0.661
Be 3.569 -1.297 5.722
Pt 2.299 -0.387 -0.170
Pt 2.980 0.500 4.064
Pt 4.973 -1.062 7.636
Pm 6.145 0.258 5.075
Pm 1.127 -1.707 2.391
Mg 4.292 -1.948 3.403
```

total magnetization: 0.000 μB per atom
V: 165.11 Å³/f.u.
formation enthalpy at 0 K: -635 meV per atom

Crystalline Mg7Cd3Hg at its relaxed geometry, computed with PBE-GGA.

The structure in extended XYZ format:
```
11
Lattice="5.321 -0.113 -0.144 -2.550 7.031 0.472 -2.550 -1.247 6.936" Properties=species:S:1:pos:R:3 pbc="T T T"
Mg 0.073 4.100 0.630
Mg 0.148 6.054 3.133
Mg 0.073 -0.383 4.130
Mg 0.147 4.594 5.883
Mg 0.074 1.078 1.380
Mg -2.550 2.892 3.704
Mg 0.148 1.572 6.633
Cd -2.550 5.169 1.926
Cd -2.550 0.615 5.482
Cd 2.661 -0.056 -0.072
Hg 0.111 2.836 3.632
```

total magnetization: 0.000 μB per atom
V: 257.71 Å³/f.u.
formation enthalpy at 0 K: -18 meV per atom

Crystalline BaTcCl2 at its relaxed geometry, computed with PBE-GGA.

The structure in extended XYZ format:
```
4
Lattice="5.469 0.000 0.000 2.734 4.736 0.000 2.734 1.579 4.465" Properties=species:S:1:pos:R:3 pbc="T T T"
Ba 5.469 3.157 2.233
Tc 8.203 4.736 3.349
Cl 2.734 1.579 1.116
Cl 0.000 0.000 0.000
```

total magnetization: 1.251 μB per atom
V: 115.64 Å³/f.u.
raw formation energy: 0.0166 eV/atom

Crystalline NdY6Tl at its relaxed geometry, computed with PBE-GGA.

The structure in extended XYZ format:
```
8
Lattice="9.349 0.011 0.082 4.669 7.283 -0.245 4.637 2.295 3.713" Properties=species:S:1:pos:R:3 pbc="T T T"
Y 14.983 8.696 2.539
Y 12.713 4.570 0.873
Y 7.053 2.158 0.638
Y 5.942 5.020 2.677
Y 3.671 0.894 1.011
Y 11.602 7.431 2.912
Nd 9.327 4.795 1.775
Tl 0.000 0.000 0.000
```

total magnetization: 0.000 μB per atom
V: 255.97 Å³/f.u.
formation enthalpy at 0 K: 5 meV per atom

Crystalline Ba2LiTePd at its relaxed geometry, computed with PBE-GGA.

The structure in extended XYZ format:
```
5
Lattice="6.091 0.000 0.000 0.000 6.091 0.000 0.000 0.000 4.814" Properties=species:S:1:pos:R:3 pbc="T T T"
Li 0.000 0.000 2.407
Ba 0.000 3.045 0.000
Ba 3.045 0.000 0.000
Pd 0.000 0.000 0.000
Te 3.045 3.045 2.407
```

total magnetization: 0.000 μB per atom
V: 178.57 Å³/f.u.
raw formation energy: -0.7587 eV/atom

Crystalline Sr2Cd3Ga5 at its relaxed geometry, computed with PBE-GGA.

The structure in extended XYZ format:
```
10
Lattice="-1.879 -4.036 -0.752 3.903 -2.013 1.048 -3.297 -0.554 11.213" Properties=species:S:1:pos:R:3 pbc="T T T"
Sr -0.584 -1.432 9.146
Sr -1.702 -2.146 2.215
Ga 0.000 0.000 0.000
Ga -0.637 -3.301 5.755
Ga -3.830 -2.503 9.453
Ga 1.012 -3.024 0.148
Ga 1.544 -1.075 1.909
Cd -3.074 -2.376 6.882
Cd -1.648 -0.277 5.607
Cd 0.788 -1.202 4.480
```

total magnetization: 0.000 μB per atom
V: 238.51 Å³/f.u.
formation enthalpy at 0 K: -335 meV per atom

Crystalline HfNbTcMo at its relaxed geometry, computed with PBE-GGA.

The structure in extended XYZ format:
```
4
Lattice="3.241 0.000 0.000 0.000 3.241 0.000 0.000 0.000 6.543" Properties=species:S:1:pos:R:3 pbc="T T T"
Nb 1.621 1.621 3.949
Mo 0.000 0.000 5.552
Hf 1.621 1.621 0.725
Tc 0.000 0.000 2.388
```

total magnetization: 0.000 μB per atom
V: 68.73 Å³/f.u.
formation enthalpy at 0 K: -263 meV per atom

Crystalline MgAlHgGe at its relaxed geometry, computed with PBE-GGA.

The structure in extended XYZ format:
```
4
Lattice="-4.456 1.301 1.423 -3.646 -3.199 -0.211 -1.870 -1.822 4.093" Properties=species:S:1:pos:R:3 pbc="T T T"
Mg -4.986 -1.860 2.652
Ge -2.493 -0.930 1.326
Al 0.000 0.000 0.000
Hg -7.480 -2.790 3.979
```

total magnetization: 0.000 μB per atom
V: 80.93 Å³/f.u.
formation enthalpy at 0 K: 82 meV per atom

Crystalline SrOsW2 at its relaxed geometry, computed with PBE-GGA.

The structure in extended XYZ format:
```
4
Lattice="-2.849 3.775 -2.532 -3.465 1.057 -3.956 -4.893 -0.186 2.474" Properties=species:S:1:pos:R:3 pbc="T T T"
Sr -2.802 1.161 -1.003
W -4.637 0.025 1.960
W -5.860 2.111 -1.493
Os -8.405 3.484 -3.010
```

total magnetization: 0.000 μB per atom
V: 85.35 Å³/f.u.
formation enthalpy at 0 K: 800 meV per atom

Crystalline Ac2DyBr2N2 at its relaxed geometry, computed with PBE-GGA.

The structure in extended XYZ format:
```
7
Lattice="4.569 0.000 0.000 0.000 4.569 0.000 -2.284 -2.284 8.273" Properties=species:S:1:pos:R:3 pbc="T T T"
Dy 0.000 0.000 0.000
N 2.284 0.000 0.000
N 0.000 2.284 0.000
Br 2.284 2.284 5.186
Br 0.000 0.000 3.087
Ac 0.000 0.000 6.646
Ac 2.284 2.284 1.627
```

total magnetization: 0.000 μB per atom
V: 172.67 Å³/f.u.
raw formation energy: -1.4149 eV/atom

Crystalline Pr4Si2Br at its relaxed geometry, computed with PBE-GGA.

The structure in extended XYZ format:
```
14
Lattice="7.513 0.000 -2.572 -3.798 6.437 -2.684 0.082 0.000 7.941" Properties=species:S:1:pos:R:3 pbc="T T T"
Pr 1.732 4.863 -3.562
Pr 5.230 3.908 1.770
Pr -0.384 2.528 1.655
Pr 4.774 1.645 4.220
Pr 1.018 1.573 5.505
Pr 3.373 0.690 0.370
Pr 1.773 4.792 0.408
Pr -2.324 5.747 0.372
Si 6.147 0.794 1.376
Si 2.390 2.424 2.662
Si -0.450 5.643 2.651
Si -0.491 4.012 -1.319
Br 3.757 3.218 -1.286
Br 0.000 0.000 0.000
```

total magnetization: 0.000 μB per atom
V: 192.69 Å³/f.u.
raw formation energy: -0.7845 eV/atom

Crystalline Pm2Dy2Ho7 at its relaxed geometry, computed with PBE-GGA.

The structure in extended XYZ format:
```
11
Lattice="5.787 0.966 1.394 0.684 7.896 1.263 0.684 -1.590 7.837" Properties=species:S:1:pos:R:3 pbc="T T T"
Dy 5.230 3.347 4.830
Dy 1.926 3.925 5.664
Ho 5.703 2.545 9.009
Ho 1.453 -0.270 4.947
Ho 4.421 5.392 7.782
Ho 2.735 1.879 2.712
Ho 0.000 0.000 0.000
Ho 1.453 4.727 1.484
Ho 5.703 7.542 5.546
Pm 3.578 6.352 3.365
Pm 3.578 0.920 7.129
```

total magnetization: 0.000 μB per atom
V: 356.33 Å³/f.u.
formation enthalpy at 0 K: 159 meV per atom

Crystalline Sr3MgCl at its relaxed geometry, computed with PBE-GGA.

The structure in extended XYZ format:
```
5
Lattice="-5.353 -1.873 -1.470 2.135 -5.377 -0.924 -1.053 -1.380 5.595" Properties=species:S:1:pos:R:3 pbc="T T T"
Sr 1.067 -2.688 -0.462
Sr -0.527 -0.690 2.798
Sr -2.676 -0.936 -0.735
Mg -2.136 -4.315 1.601
Cl 0.000 0.000 0.000
```

total magnetization: 0.000 μB per atom
V: 201.05 Å³/f.u.
raw formation energy: -0.5464 eV/atom

Crystalline La2Pm5NdTm at its relaxed geometry, computed with PBE-GGA.

The structure in extended XYZ format:
```
18
Lattice="8.258 0.000 0.000 0.000 8.750 0.000 0.000 0.000 8.750" Properties=species:S:1:pos:R:3 pbc="T T T"
La 4.129 7.705 5.420
La 4.129 3.330 7.705
La 4.129 1.045 3.330
La 4.129 5.420 1.045
Pm 6.472 6.282 6.842
Pm 1.786 6.282 6.842
Pm 6.472 1.908 6.282
Pm 6.472 6.842 2.467
Pm 1.786 6.842 2.467
Pm 6.472 2.467 1.908
Pm 4.129 0.000 0.000
Pm 4.129 4.375 4.375
Pm 1.786 2.467 1.908
Pm 1.786 1.908 6.282
Nd 0.000 4.375 4.375
Nd 0.000 0.000 0.000
Tm 0.000 4.375 0.000
Tm 0.000 0.000 4.375
```

total magnetization: 0.000 μB per atom
V: 316.09 Å³/f.u.
formation enthalpy at 0 K: 239 meV per atom